VASP calculation (GGA-PBE) on a relaxed TbPm2HoSe5 crystal.

Uncorrected formation energy = -1.244 eV/atom
N(E_F) = 0.660 states/eV/atom

a b c (Å): 5.1274 5.1274 10.7660
angles (deg): 90.00 90.00 90.00
Sites, in units of the cell vectors:
Tb (0.0000, 0.0000, 0.0000)
Pm (0.5000, 0.5000, 0.3278)
Pm (0.5000, 0.5000, 0.6722)
Ho (0.0000, 0.0000, 0.5000)
Se (0.0000, 0.5000, 0.5000)
Se (0.5000, 0.0000, 0.5000)
Se (0.0000, 0.0000, 0.7533)
Se (0.0000, 0.0000, 0.2467)
Se (0.5000, 0.5000, 0.0000)



VASP calculation (GGA-PBE) on a relaxed SrTiHSe2 crystal.

Electronic total energy = -25.60 eV/cell
N(E_F) = 0.670 states/eV/atom

a b c (Å): 5.1015 5.1015 3.9181
angles (deg): 90.00 90.00 90.00
Site moments in Bohr magnetons follow the coordinates.
Sites, in units of the cell vectors:
Sr (0.5000, 0.5000, 0.5000)  0.01
H (0.0000, 0.0000, 0.5000)  -0.01
Se (0.0000, 0.5000, 0.0000)  -0.02
Se (0.5000, 0.0000, 0.0000)  -0.02
Ti (0.0000, 0.0000, 0.0000)  0.64



VASP calculation (GGA-PBE) on a relaxed GaBiAuC2 crystal.

Formation energy from the elements = 52.7 kcal/mol of atoms
N(E_F) = 0.527 states/eV/atom

a b c (Å): 4.5300 5.7081 4.5300
angles (deg): 90.00 90.00 90.00
Site moments in Bohr magnetons follow the coordinates.
Sites, in units of the cell vectors:
C (0.0000, 0.0000, 0.5000)  0.41
C (0.5000, 0.0000, 0.0000)  0.53
Au (0.0000, 0.5000, 0.0000)  0.07
Bi (0.0000, 0.0000, 0.0000)  -0.05
Ga (0.5000, 0.5000, 0.5000)  0.01



VASP calculation (GGA-PBE) on a relaxed Ta2SbMo crystal.

Uncorrected formation energy = 0.170 eV/atom
N(E_F) = 0.655 states/eV/atom

a b c (Å): 3.0071 3.0071 8.8514
angles (deg): 90.00 90.00 110.66
Sites, in units of the cell vectors:
Mo (0.0000, 0.0000, 0.4936)
Sb (0.5000, 0.5000, 0.7450)
Ta (0.0000, 0.0000, 0.0039)
Ta (0.5000, 0.5000, 0.2575)



VASP calculation (GGA-PBE) on a relaxed Sm2In5Cl12 crystal.

Uncorrected formation energy = -1.425 eV/atom
N(E_F) = 0.173 states/eV/atom

a b c (Å): 7.3556 9.5084 9.5084
angles (deg): 62.34 76.01 76.01
Site moments in Bohr magnetons follow the coordinates.
Sites, in units of the cell vectors:
Sm (0.0000, 0.7480, 0.2520)  0.01
Sm (0.0000, 0.2520, 0.7480)  0.01
In (0.9956, 0.2467, 0.2467)  0.00
In (0.5055, 0.3493, 0.3493)  0.00
In (0.5000, 0.0000, 0.0000)  0.36
In (0.4945, 0.6507, 0.6507)  0.00
In (0.0044, 0.7533, 0.7533)  0.00
Cl (0.1966, 0.9214, 0.9214)  0.04
Cl (0.2155, 0.1434, 0.5256)  0.00
Cl (0.2155, 0.5256, 0.1434)  0.00
Cl (0.7443, 0.0950, 0.7146)  0.07
Cl (0.7443, 0.7146, 0.0950)  0.07
Cl (0.7956, 0.4806, 0.4806)  0.00
Cl (0.2044, 0.5194, 0.5194)  0.00
Cl (0.2557, 0.9050, 0.2854)  0.07
Cl (0.2557, 0.2854, 0.9050)  0.07
Cl (0.7845, 0.8566, 0.4744)  0.00
Cl (0.7845, 0.4744, 0.8566)  0.00
Cl (0.8034, 0.0786, 0.0786)  0.04



VASP calculation (GGA-PBE) on a relaxed CuHgSe4 crystal.

Uncorrected formation energy = 0.626 eV/atom
N(E_F) = 0.708 states/eV/atom

a b c (Å): 5.7628 5.7628 5.7628
angles (deg): 60.00 60.00 60.00
Sites, in units of the cell vectors:
Cu (0.7500, 0.7500, 0.7500)
Hg (0.0000, 0.0000, 0.0000)
Se (0.8784, 0.3739, 0.3739)
Se (0.3739, 0.3739, 0.8784)
Se (0.3739, 0.8784, 0.3739)
Se (0.3739, 0.3739, 0.3739)



VASP calculation (GGA-PBE) on a relaxed TaP3 crystal.

Formation energy from the elements = 8.2 kcal/mol of atoms
N(E_F) = 0.875 states/eV/atom

a b c (Å): 5.3944 5.3944 9.6798
angles (deg): 90.00 90.00 120.00
Sites, in units of the cell vectors:
P (0.5000, 0.0000, 0.0000)
P (0.5000, 0.0000, 0.5000)
P (0.0000, 0.5000, 0.0000)
P (0.5000, 0.5000, 0.0000)
P (0.5000, 0.5000, 0.5000)
P (0.0000, 0.5000, 0.5000)
P (0.8536, 0.7072, 0.2500)
P (0.1464, 0.2928, 0.7500)
P (0.2928, 0.1464, 0.2500)
P (0.8536, 0.1464, 0.2500)
P (0.1464, 0.8536, 0.7500)
P (0.7072, 0.8536, 0.7500)
Ta (0.0000, 0.0000, 0.0000)
Ta (0.0000, 0.0000, 0.5000)
Ta (0.3333, 0.6667, 0.2500)
Ta (0.6667, 0.3333, 0.7500)



VASP calculation (GGA-PBE) on a relaxed Sc2PRh6 crystal.

Distance to the lowest polymorph of the same formula = 0.2682 eV per atom
Formation energy from the elements = -12.6 kcal/mol of atoms
N(E_F) = 1.250 states/eV/atom

a b c (Å): 7.3006 7.3006 2.9445
angles (deg): 90.00 90.00 120.00
Sites, in units of the cell vectors:
Sc (0.6667, 0.3333, 0.0000)
Sc (0.3333, 0.6667, 0.0000)
P (0.0000, 0.0000, 0.5000)
Rh (0.0000, 0.7504, 0.0000)
Rh (0.2496, 0.2496, 0.0000)
Rh (0.7504, 0.0000, 0.0000)
Rh (0.0000, 0.3890, 0.5000)
Rh (0.6110, 0.6110, 0.5000)
Rh (0.3890, 0.0000, 0.5000)



VASP calculation (GGA-PBE) on a relaxed La5AgOs crystal.

Formation energy from the elements = -1.8 kcal/mol of atoms
N(E_F) = 1.179 states/eV/atom

a b c (Å): 6.2756 6.2756 12.2448
angles (deg): 76.02 76.02 74.28
Sites, in units of the cell vectors:
La (0.9292, 0.5801, 0.1315)
La (0.2045, 0.5522, 0.5584)
La (0.5801, 0.9292, 0.6315)
La (0.0183, 0.9817, 0.2500)
La (0.4478, 0.7955, 0.9416)
La (0.5522, 0.2045, 0.0584)
La (0.9817, 0.0183, 0.7500)
La (0.4199, 0.0708, 0.3685)
La (0.7955, 0.4478, 0.4416)
La (0.0708, 0.4199, 0.8685)
Ag (0.4258, 0.5742, 0.2500)
Ag (0.5742, 0.4258, 0.7500)
Os (0.0000, 0.0000, 0.0000)
Os (0.0000, 0.0000, 0.5000)